Model i:
Crystalline AcSm5Pb6 at its relaxed geometry. Source: the Alexandria database, functional PBE.

abc: 9.532 6.046 8.026
angles: 67.88 80.48 63.96
Sites, in units of the cell vectors:
Ac 0.000 0.000 0.000
Pb 0.248 0.275 0.000
Pb 0.740 0.095 0.345
Sm 0.500 0.841 0.319
Sm 0.000 0.329 0.341
Sm 0.500 0.159 0.681
Sm 0.500 0.500 0.000
Pb 0.740 0.440 0.655
Sm 0.000 0.671 0.659
Pb 0.260 0.560 0.345
Pb 0.752 0.725 0.000
Pb 0.260 0.905 0.655

## Properties
Space-group type: C2/m (12)
Spin magnetization, μB per atom: 0.000



Model ii:
Crystalline AcSm5Pb6 at its relaxed geometry. Source: the Alexandria database, functional PBE.

abc: 5.116 9.168 9.386
angles: 119.23 105.82 90.00
Sites, in units of the cell vectors:
Sm 0.334 0.334 0.668
Sm 0.000 0.500 0.000
Pb 0.500 0.258 0.000
Pb 0.829 0.576 0.659
Ac 0.000 0.000 0.000
Sm 0.330 0.830 0.660
Pb 0.171 0.424 0.341
Sm 0.670 0.170 0.340
Pb 0.500 0.742 0.000
Sm 0.666 0.666 0.332
Pb 0.829 0.082 0.659
Pb 0.171 0.918 0.341

## Properties
Space-group type: Immm (71)
Spin magnetization, μB per atom: 0.000



Most stable pick: model ii. Distance to second place: 0.008 eV/atom.



Model i:
Crystalline Ac2SmPb at its relaxed geometry. Source: the Alexandria database, functional PBE.

abc: 5.948 5.948 5.948
angles: 60.00 60.00 60.00
Sites, in units of the cell vectors:
Pb 0.500 0.500 0.500
Sm 0.000 0.000 0.000
Ac 0.750 0.750 0.750
Ac 0.250 0.250 0.250

## Properties
Space-group type: Fm-3m (225)
Spin magnetization, μB per atom: 0.000



Model ii:
Crystalline Ac2SmPb at its relaxed geometry. Source: the Alexandria database, functional PBE.

abc: 4.500 4.500 7.383
angles: 90.00 90.00 90.00
Sites, in units of the cell vectors:
Pb 0.500 0.500 0.000
Ac 0.000 0.000 0.232
Ac 0.000 0.000 0.768
Sm 0.500 0.500 0.500

## Properties
Space-group type: P4/mmm (123)
Spin magnetization, μB per atom: 0.000



Most stable pick: model ii. Distance to second place: 0.107 eV/atom.



Model i:
Crystalline Ac2SmPb at its relaxed geometry. Source: the Alexandria database, functional PBE.

abc: 3.726 3.726 13.020
angles: 81.77 81.77 60.00
Sites, in units of the cell vectors:
Pb 0.500 0.500 0.500
Ac 0.092 0.092 0.725
Sm 0.000 0.000 0.000
Ac 0.908 0.908 0.275

## Properties
Space-group type: R-3m (166)
Spin magnetization, μB per atom: 0.082



Model ii:
Crystalline Ac2SmPb at its relaxed geometry. Source: the Alexandria database, functional PBE.

abc: 5.182 5.254 5.254
angles: 90.00 90.00 90.00
Sites, in units of the cell vectors:
Ac 0.000 0.000 0.500
Pb 0.500 0.000 0.000
Sm 0.500 0.500 0.500
Ac 0.000 0.500 0.000

## Properties
Space-group type: P4/mmm (123)
Spin magnetization, μB per atom: 0.000



Most stable pick: model ii. Distance to second place: 0.360 eV/atom.



Model i:
Crystalline AcSmPb at its relaxed geometry. Source: the Alexandria database, functional PBE.

abc: 4.317 4.317 6.227
angles: 110.28 110.28 90.00
Sites, in units of the cell vectors:
Pb 0.939 0.939 0.877
Ac 0.610 0.610 0.220
Sm 0.301 0.301 0.603

## Properties
Space-group type: I4mm (107)
Spin magnetization, μB per atom: 0.000



Model ii:
Crystalline AcSmPb at its relaxed geometry. Source: the Alexandria database, functional PBE.

abc: 4.874 4.874 9.089
angles: 90.03 90.03 89.98
Sites, in units of the cell vectors:
Pb 0.313 0.366 0.661
Ac 0.314 0.367 0.270
Sm 0.314 0.866 0.920
Ac 0.813 0.866 0.569
Sm 0.814 0.366 0.920
Pb 0.814 0.867 0.179

## Properties
Space-group type: C2/m (12)
Spin magnetization, μB per atom: 0.250



Most stable pick: model ii. Distance to second place: 0.142 eV/atom.



Model i:
Crystalline AcSmPb at its relaxed geometry. Source: the Alexandria database, functional PBE.

abc: 5.503 5.503 5.503
angles: 60.00 60.00 60.00
Sites, in units of the cell vectors:
Sm 0.000 0.000 0.000
Pb 0.250 0.250 0.250
Ac 0.500 0.500 0.500

## Properties
Space-group type: F-43m (216)
Spin magnetization, μB per atom: 0.030



Model ii:
Crystalline AcSmPb at its relaxed geometry. Source: the Alexandria database, functional PBE.

abc: 6.451 9.129 9.129
angles: 82.83 69.31 69.31
Sites, in units of the cell vectors:
Pb 0.000 0.628 0.372
Pb 0.372 0.628 0.628
Sm 0.811 0.000 0.378
Pb 0.000 0.372 0.628
Sm 0.189 0.622 0.000
Ac 0.260 0.240 0.240
Ac 0.740 0.760 0.760
Sm 0.189 0.000 0.622
Sm 0.811 0.378 0.000
Ac 0.500 0.760 0.240
Ac 0.500 0.240 0.760
Pb 0.628 0.372 0.372

## Properties
Space-group type: I4/mmm (139)
Spin magnetization, μB per atom: 0.000



Model iii:
Crystalline AcSmPb at its relaxed geometry. Source: the Alexandria database, functional PBE.

abc: 4.507 5.339 5.339
angles: 120.00 90.00 90.00
Sites, in units of the cell vectors:
Sm 0.834 0.000 0.000
Pb 0.833 0.667 0.333
Ac 0.334 0.333 0.667

## Properties
Space-group type: P3m1 (156)
Spin magnetization, μB per atom: 0.000



Most stable pick: model iii. Distance to second place: 0.040 eV/atom.



Model i:
Crystalline Ac2SmPb3 at its relaxed geometry. Source: the Alexandria database, functional PBE.

abc: 6.050 9.587 7.370
angles: 90.00 90.00 71.61
Sites, in units of the cell vectors:
Pb 0.499 0.000 0.234
Ac 0.000 0.000 0.000
Sm 0.666 0.667 0.000
Pb 0.171 0.658 0.773
Sm 0.334 0.333 0.000
Pb 0.501 0.000 0.766
Pb 0.829 0.342 0.227
Pb 0.829 0.342 0.773
Ac 0.665 0.670 0.500
Ac 0.000 0.000 0.500
Pb 0.171 0.658 0.227
Ac 0.335 0.330 0.500

## Properties
Space-group type: C2/m (12)
Spin magnetization, μB per atom: 0.070



Model ii:
Crystalline Ac2SmPb3 at its relaxed geometry. Source: the Alexandria database, functional PBE.

abc: 6.517 8.668 8.668
angles: 110.41 90.00 90.00
Sites, in units of the cell vectors:
Pb 0.000 0.183 0.817
Pb 0.500 0.817 0.183
Sm 0.750 0.900 0.900
Pb 0.750 0.584 0.584
Pb 0.500 0.183 0.817
Ac 0.750 0.165 0.461
Ac 0.250 0.835 0.539
Ac 0.750 0.461 0.165
Pb 0.000 0.817 0.183
Sm 0.250 0.100 0.100
Pb 0.250 0.416 0.416
Ac 0.250 0.539 0.835

## Properties
Space-group type: Cmcm (63)
Spin magnetization, μB per atom: 0.000



Most stable pick: model i. Distance to second place: 0.081 eV/atom.



Model i:
Crystalline Ac2Sn2Pb3 at its relaxed geometry. Source: the Alexandria database, functional PBE.

abc: 8.599 8.599 8.601
angles: 109.48 109.48 109.46
Sites, in units of the cell vectors:
Pb 0.747 0.750 0.997
Ac 0.994 0.500 0.000
Pb 0.497 0.247 0.750
Sn 0.376 0.500 0.000
Pb 0.753 0.250 0.503
Ac 0.000 0.000 0.494
Sn 0.500 0.876 0.500
Sn 0.124 0.624 0.624
Ac 0.500 0.495 0.500
Pb 0.250 0.997 0.247
Pb 0.750 0.503 0.253
Pb 0.003 0.253 0.250
Sn 0.000 0.000 0.876
Ac 0.505 0.006 0.005

## Properties
Space-group type: I2_13 (199)
Spin magnetization, μB per atom: 0.000



Model ii:
Crystalline Ac2Sn2Pb3 at its relaxed geometry. Source: the Alexandria database, functional PBE.

abc: 4.729 6.661 7.877
angles: 96.07 90.00 110.79
Sites, in units of the cell vectors:
Pb 0.315 0.629 0.139
Sn 0.100 0.200 0.620
Pb 0.685 0.371 0.861
Ac 0.381 0.763 0.693
Sn 0.900 0.800 0.380
Pb 0.000 0.000 0.000
Ac 0.619 0.237 0.307

## Properties
Space-group type: C2/m (12)
Spin magnetization, μB per atom: 0.000



Most stable pick: model ii. Distance to second place: 0.180 eV/atom.



Model i:
Crystalline Ac12Sn6Pb at its relaxed geometry. Source: the Alexandria database, functional PBE.

abc: 9.668 9.668 9.668
angles: 100.56 100.56 100.56
Sites, in units of the cell vectors:
Ac 0.559 0.185 0.420
Pb 0.000 0.000 0.000
Ac 0.939 0.051 0.668
Sn 0.309 0.130 0.622
Ac 0.061 0.949 0.332
Ac 0.420 0.559 0.185
Sn 0.691 0.870 0.378
Ac 0.949 0.332 0.061
Ac 0.815 0.580 0.441
Sn 0.378 0.691 0.870
Ac 0.668 0.939 0.051
Ac 0.332 0.061 0.949
Ac 0.051 0.668 0.939
Ac 0.185 0.420 0.559
Sn 0.622 0.309 0.130
Sn 0.870 0.378 0.691
Ac 0.580 0.441 0.815
Ac 0.441 0.815 0.580
Sn 0.130 0.622 0.309

## Properties
Space-group type: R-3 (148)
Spin magnetization, μB per atom: 0.000



Model ii:
Crystalline Ac12Sn6Pb at its relaxed geometry. Source: the Alexandria database, functional PBE.

abc: 9.895 9.895 9.895
angles: 109.47 109.47 109.47
Sites, in units of the cell vectors:
Ac 0.099 0.812 0.287
Ac 0.287 0.099 0.812
Pb 0.000 0.000 0.000
Ac 0.901 0.188 0.713
Ac 0.188 0.713 0.901
Sn 0.376 0.500 0.876
Sn 0.124 0.624 0.500
Ac 0.713 0.901 0.188
Sn 0.500 0.124 0.624
Ac 0.525 0.812 0.713
Sn 0.500 0.876 0.376
Ac 0.287 0.475 0.188
Ac 0.713 0.525 0.812
Ac 0.475 0.188 0.287
Sn 0.876 0.376 0.500
Ac 0.188 0.287 0.475
Ac 0.812 0.713 0.525
Ac 0.812 0.287 0.099
Sn 0.624 0.500 0.124

## Properties
Space-group type: Im-3 (204)
Spin magnetization, μB per atom: 0.002



Most stable pick: model ii. Distance to second place: 0.084 eV/atom.



Model i:
Crystalline AcSn2Pb at its relaxed geometry. Source: the Alexandria database, functional PBE.

abc: 4.226 4.226 7.061
angles: 90.00 90.00 90.00
Sites, in units of the cell vectors:
Sn 0.000 0.000 0.285
Pb 0.500 0.500 0.500
Ac 0.500 0.500 0.000
Sn 0.000 0.000 0.715

## Properties
Space-group type: P4/mmm (123)
Spin magnetization, μB per atom: 0.000



Model ii:
Crystalline AcSn2Pb at its relaxed geometry. Source: the Alexandria database, functional PBE.

abc: 5.342 5.342 6.141
angles: 64.22 64.22 60.00
Sites, in units of the cell vectors:
Sn 0.273 0.273 0.181
Sn 0.727 0.727 0.819
Pb 0.000 0.000 0.000
Ac 0.500 0.500 0.500

## Properties
Space-group type: R-3m (166)
Spin magnetization, μB per atom: 0.000



Model iii:
Crystalline AcSn2Pb at its relaxed geometry. Source: the Alexandria database, functional PBE.

abc: 4.937 4.986 4.986
angles: 90.00 90.00 90.00
Sites, in units of the cell vectors:
Sn 0.000 0.500 0.000
Pb 0.500 0.000 0.000
Ac 0.500 0.500 0.500
Sn 0.000 0.000 0.500

## Properties
Space-group type: P4/mmm (123)
Spin magnetization, μB per atom: 0.000



Most stable pick: model iii. Distance to second place: 0.132 eV/atom.



Model i:
Crystalline Ac5SnPb4 at its relaxed geometry. Source: the Alexandria database, functional PBE.

abc: 6.862 8.418 8.418
angles: 80.44 65.95 65.95
Sites, in units of the cell vectors:
Pb 0.403 0.399 0.796
Ac 0.502 0.000 0.000
Ac 0.100 0.605 0.196
Pb 0.802 0.796 0.601
Sn 0.002 0.000 0.000
Ac 0.705 0.196 0.395
Pb 0.598 0.601 0.204
Ac 0.902 0.395 0.804
Pb 0.199 0.204 0.399
Ac 0.296 0.804 0.605

## Properties
Space-group type: I4 (79)
Spin magnetization, μB per atom: 0.000



Model ii:
Crystalline Ac5SnPb4 at its relaxed geometry. Source: the Alexandria database, functional PBE.

abc: 3.865 3.865 23.544
angles: 90.00 90.00 90.00
Sites, in units of the cell vectors:
Ac 0.500 0.500 0.500
Pb 0.000 0.000 0.198
Pb 0.000 0.000 0.802
Ac 0.500 0.500 0.904
Ac 0.500 0.500 0.702
Pb 0.000 0.000 0.601
Ac 0.500 0.500 0.298
Ac 0.500 0.500 0.096
Pb 0.000 0.000 0.399
Sn 0.000 0.000 0.000

## Properties
Space-group type: P4/mmm (123)
Spin magnetization, μB per atom: 0.000



Most stable pick: model ii. Distance to second place: 0.102 eV/atom.